First-principles (PBE with a Hubbard U) data for a relaxed structure of K2VSeO6, as listed in the Alexandria database.

Results
raw total energy	-5.52	eV/atom
D(E_F)	4.3	states/eV/cell
calculated volume	235.0	Å³/cell

a b c (Å): 7.760 7.793 5.490
angles (deg): 90.00 134.95 90.00
Space group C2/m (No. 12)
One atom of each set of equivalent atoms:
K  0.000  0.250  0.000 [4 per cell]
V  0.000  0.000  0.500 [2 per cell]
Se  0.000  0.500  0.500 [2 per cell]
O  0.000  0.242  0.500 [4 per cell]
O  0.245  0.500  0.988 [4 per cell]
O  0.248  0.000  0.498 [4 per cell]